Pm5Dy2ErTh | GGA-PBE | relaxed

ΔE_f   0.15 eV per atom

Lattice parameters (Å, degrees): 5.6280 20.4895 10.5916 90.00 90.00 90.00
Space group Cmc2_1 (No. 36)
One atom of each set of equivalent atoms:
Pm  0.0000  0.0137  0.0000 [4 per cell]
Pm  0.0000  0.2763  0.2947 [4 per cell]
Pm  0.0000  0.2932  0.6869 [4 per cell]
Pm  0.0000  0.3849  0.0066 [4 per cell]
Pm  0.0000  0.4826  0.7274 [4 per cell]
Dy  0.0000  0.1125  0.7203 [4 per cell]
Dy  0.0000  0.1149  0.2915 [4 per cell]
Er  0.0000  0.4049  0.4433 [4 per cell]
Th  0.0000  0.1992  0.9936 [4 per cell]